! PBE MgFe2W, relaxed; values from VASP
&SYSTEM
  ibrav = 0, nat = 4, ntyp = 3
/
ATOMIC_SPECIES
Mg 24.30 Mg.upf
Fe 55.84 Fe.upf
W 183.84 W.upf
ATOMIC_POSITIONS angstrom
Mg 0.000 0.000 0.000
Fe 0.000 0.000 4.670
Fe 0.000 2.191 2.129
W 1.411 0.000 2.516
CELL_PARAMETERS angstrom
-1.411 2.191 4.483
1.411 -2.191 4.483
1.411 2.191 -4.483
! - Total energy: -30.381 eV/cell
! - Total magnetic moment: 3.1 Bohr magnetons per cell
! - Symmetry: Imm2 (44)
! - Crystal system: orthorhombic
! - Energy relative to the elements: 0.27 eV per atom

! PBE MgFe2W, relaxed; values from VASP
&SYSTEM
  ibrav = 0, nat = 4, ntyp = 3
/
ATOMIC_SPECIES
Mg 24.30 Mg.upf
Fe 55.84 Fe.upf
W 183.84 W.upf
ATOMIC_POSITIONS angstrom
Mg 0.000 0.000 0.000
Fe 1.581 0.000 2.180
Fe 1.581 0.000 6.214
W 0.000 0.000 4.197
CELL_PARAMETERS angstrom
1.581 -2.160 0.000
1.581 2.160 0.000
0.000 0.000 8.394
! - Total energy: -30.566 eV/cell
! - Total magnetic moment: 3.8 Bohr magnetons per cell
! - Symmetry: Cmmm (65)
! - Crystal system: orthorhombic
! - Energy relative to the elements: 0.23 eV per atom

! PBE MgFeW, relaxed; values from VASP
&SYSTEM
  ibrav = 0, nat = 3, ntyp = 3
/
ATOMIC_SPECIES
Mg 24.30 Mg.upf
Fe 55.84 Fe.upf
W 183.84 W.upf
ATOMIC_POSITIONS angstrom
Mg 0.000 0.000 0.000
Fe 2.964 2.964 2.964
W 1.482 1.482 1.482
CELL_PARAMETERS angstrom
0.000 2.964 2.964
2.964 0.000 2.964
2.964 2.964 0.000
! - Total energy: -19.420 eV/cell
! - Total magnetic moment: 0.9 Bohr magnetons per cell
! - Symmetry: F-43m (216)
! - Crystal system: cubic
! - Energy above the most stable polymorph in this dataset: 923 meV per atom
! - Energy relative to the elements: 1.20 eV per atom

! PBE MgFeW, relaxed; values from VASP
&SYSTEM
  ibrav = 0, nat = 3, ntyp = 3
/
ATOMIC_SPECIES
Mg 24.30 Mg.upf
Fe 55.84 Fe.upf
W 183.84 W.upf
ATOMIC_POSITIONS angstrom
Mg 0.000 0.000 0.000
Fe 0.000 2.510 1.789
W 2.174 1.255 1.164
CELL_PARAMETERS angstrom
4.347 0.000 0.000
-2.174 3.765 0.000
0.000 0.000 2.692
! - Total energy: -21.936 eV/cell
! - Total magnetic moment: 1.1 Bohr magnetons per cell
! - Symmetry: P3m1 (156)
! - Crystal system: trigonal
! - Energy above the most stable polymorph in this dataset: 84 meV per atom
! - Energy relative to the elements: 0.36 eV per atom

! PBE MgFe2W, relaxed; values from VASP
&SYSTEM
  ibrav = 0, nat = 4, ntyp = 3
/
ATOMIC_SPECIES
Mg 24.30 Mg.upf
Fe 55.84 Fe.upf
W 183.84 W.upf
ATOMIC_POSITIONS angstrom
Mg 0.000 0.000 0.000
Fe 0.000 0.000 4.217
Fe 0.000 1.785 2.109
W 1.785 0.000 2.109
CELL_PARAMETERS angstrom
-1.785 1.785 4.217
1.785 -1.785 4.217
1.785 1.785 -4.217
! - Total energy: -29.920 eV/cell
! - Total magnetic moment: 1.6 Bohr magnetons per cell
! - Symmetry: I-4m2 (119)
! - Crystal system: tetragonal
! - Energy relative to the elements: 0.39 eV per atom

! PBE MgFe2W, relaxed; values from VASP
&SYSTEM
  ibrav = 0, nat = 4, ntyp = 3
/
ATOMIC_SPECIES
Mg 24.30 Mg.upf
Fe 55.84 Fe.upf
W 183.84 W.upf
ATOMIC_POSITIONS angstrom
Mg 0.000 0.000 0.000
Fe 0.000 0.000 6.248
Fe 0.000 0.000 19.304
W 0.000 0.000 12.776
CELL_PARAMETERS angstrom
1.419 0.819 8.517
-1.419 0.819 8.517
0.000 -1.638 8.517
! - Total energy: -29.967 eV/cell
! - Total magnetic moment: 4.0 Bohr magnetons per cell
! - Symmetry: R-3m (166)
! - Crystal system: trigonal
! - Energy relative to the elements: 0.38 eV per atom

! PBE MgFeW, relaxed; values from VASP
&SYSTEM
  ibrav = 0, nat = 3, ntyp = 3
/
ATOMIC_SPECIES
Mg 24.30 Mg.upf
Fe 55.84 Fe.upf
W 183.84 W.upf
ATOMIC_POSITIONS angstrom
Mg 0.000 0.000 0.000
Fe 1.580 2.198 8.865
W 1.580 2.198 4.190
CELL_PARAMETERS angstrom
0.000 2.198 6.656
1.580 0.000 6.656
1.580 2.198 0.000
! - Total energy: -22.077 eV/cell
! - Total magnetic moment: 1.9 Bohr magnetons per cell
! - Symmetry: Fmm2 (42)
! - Crystal system: orthorhombic
! - Energy above the most stable polymorph in this dataset: 37 meV per atom
! - Energy relative to the elements: 0.31 eV per atom

! PBE MgFe2W, relaxed; values from VASP
&SYSTEM
  ibrav = 0, nat = 4, ntyp = 3
/
ATOMIC_SPECIES
Mg 24.30 Mg.upf
Fe 55.84 Fe.upf
W 183.84 W.upf
ATOMIC_POSITIONS angstrom
Mg 0.000 0.000 0.000
Fe 0.000 0.000 2.766
Fe 1.300 2.061 4.131
W 1.300 2.061 1.588
CELL_PARAMETERS angstrom
2.601 0.000 0.000
0.000 4.122 0.000
0.000 0.000 5.356
! - Total energy: -29.941 eV/cell
! - Total magnetic moment: 4.4 Bohr magnetons per cell
! - Symmetry: Pmm2 (25)
! - Crystal system: orthorhombic
! - Energy relative to the elements: 0.38 eV per atom

! PBE MgFe2W, relaxed; values from VASP
&SYSTEM
  ibrav = 0, nat = 4, ntyp = 3
/
ATOMIC_SPECIES
Mg 24.30 Mg.upf
Fe 55.84 Fe.upf
W 183.84 W.upf
ATOMIC_POSITIONS angstrom
Mg 0.000 0.000 0.000
Fe 0.000 0.000 4.021
Fe 1.570 0.000 2.195
W 1.570 0.000 6.078
CELL_PARAMETERS angstrom
1.570 -2.153 0.000
1.570 2.153 0.000
0.000 0.000 8.523
! - Total energy: -30.431 eV/cell
! - Total magnetic moment: 4.3 Bohr magnetons per cell
! - Symmetry: Cmm2 (35)
! - Crystal system: orthorhombic
! - Energy relative to the elements: 0.26 eV per atom

! PBE Mg2FeW2, relaxed; values from VASP
&SYSTEM
  ibrav = 0, nat = 10, ntyp = 3
/
ATOMIC_SPECIES
Mg 24.30 Mg.upf
Fe 55.84 Fe.upf
W 183.84 W.upf
ATOMIC_POSITIONS angstrom
Mg 1.018 2.046 0.000
Mg 2.046 5.110 0.000
Mg 4.083 1.018 0.000
Mg 5.110 4.083 0.000
Fe 0.000 0.000 2.375
Fe 3.064 3.064 2.375
W 0.889 3.953 2.375
W 2.175 0.889 2.375
W 3.953 5.239 2.375
W 5.239 2.175 2.375
CELL_PARAMETERS angstrom
6.128 0.000 0.000
0.000 6.128 0.000
0.000 0.000 4.751
! - Total energy: -68.395 eV/cell
! - Total magnetic moment: 0.0 Bohr magnetons per cell
! - Symmetry: P4/mbm (127)
! - Crystal system: tetragonal
! - Energy above the most stable polymorph in this dataset: 0 meV per atom
! - Energy relative to the elements: 0.67 eV per atom

! PBE Y4MgFe, relaxed; values from VASP
&SYSTEM
  ibrav = 0, nat = 6, ntyp = 3
/
ATOMIC_SPECIES
Y 88.91 Y.upf
Mg 24.30 Mg.upf
Fe 55.84 Fe.upf
ATOMIC_POSITIONS angstrom
Y 1.106 1.106 1.106
Y 3.331 3.331 1.106
Y 3.331 1.106 3.331
Y 1.106 3.331 3.331
Mg 4.437 4.437 4.437
Fe 6.655 6.655 6.655
CELL_PARAMETERS angstrom
0.000 4.437 4.437
4.437 0.000 4.437
4.437 4.437 0.000
! - Total energy: -31.832 eV/cell
! - Total magnetic moment: 2.6 Bohr magnetons per cell
! - Symmetry: F-43m (216)
! - Crystal system: cubic
! - Energy above the most stable polymorph in this dataset: 682 meV per atom
! - Energy relative to the elements: 0.68 eV per atom

! PBE YMg14Fe, relaxed; values from VASP
&SYSTEM
  ibrav = 0, nat = 16, ntyp = 3
/
ATOMIC_SPECIES
Y 88.91 Y.upf
Mg 24.30 Mg.upf
Fe 55.84 Fe.upf
ATOMIC_POSITIONS angstrom
Y 0.000 0.000 0.000
Mg -1.538 2.815 0.000
Mg 0.000 1.798 2.692
Mg 0.000 1.798 7.445
Mg -1.650 4.656 2.692
Mg -1.650 4.656 7.445
Mg 1.538 2.815 0.000
Mg 0.000 5.479 0.000
Mg 3.207 0.042 5.068
Mg 1.640 2.756 5.068
Mg 3.207 1.852 2.409
Mg 3.207 1.852 7.727
Mg 1.650 4.656 2.692
Mg 1.650 4.656 7.445
Mg 4.774 2.756 5.068
Fe 0.000 0.000 5.068
CELL_PARAMETERS angstrom
6.414 0.000 0.000
-3.207 5.555 0.000
0.000 0.000 10.137
! - Total energy: -36.080 eV/cell
! - Total magnetic moment: 3.1 Bohr magnetons per cell
! - Symmetry: P-6m2 (187)
! - Crystal system: hexagonal
! - Energy above the most stable polymorph in this dataset: 13 meV per atom
! - Energy relative to the elements: 0.07 eV per atom